Below is an optimized crystal structure of YAgSn, with properties calculated at the PBE level.

Computed properties:
VASP energy   -0.3500 Ry/atom
Energy relative to the elements   -322 meV per atom

a = 3.549 Å, b = 3.549 Å, c = 6.271 Å
α = 106.44°, β = 106.44°, γ = 90.00°
Positions (direct):
Y 0.292 0.292 0.585
Sn 0.603 0.603 0.207
Ag 0.954 0.954 0.909


Below is an optimized crystal structure of Pm2Sm6Dy3Pu, with properties calculated at the PBE level.

Computed properties:
VASP energy   -0.4002 Ry/atom
Energy relative to the elements   51 meV per atom

a = 6.236 Å, b = 6.236 Å, c = 11.874 Å
α = 95.06°, β = 95.06°, γ = 120.06°
Each line ends with the local moment (μB).
Positions (direct):
Pm 0.333 0.667 0.000  0.07
Pm 0.667 0.333 0.000  0.07
Sm 0.917 0.587 0.749  0.02
Sm 0.753 0.753 0.251  0.02
Sm 0.083 0.413 0.251  0.02
Sm 0.587 0.917 0.749  0.02
Sm 0.247 0.247 0.749  0.02
Sm 0.413 0.083 0.251  0.02
Dy 0.167 0.833 0.500  -0.03
Dy 0.833 0.167 0.500  -0.03
Dy 0.500 0.500 0.500  -0.03
Pu 0.000 0.000 0.000  5.59


Below is an optimized crystal structure of Tl2Ge2Se, with properties calculated at the PBE level.

Computed properties:
Formation energy without anion corrections   116 meV per atom
VASP energy   -0.2480 Ry/atom

a = 7.216 Å, b = 7.216 Å, c = 5.008 Å
α = 90.00°, β = 90.00°, γ = 90.00°
Positions (direct):
Tl 0.182 0.682 0.500
Tl 0.682 0.818 0.500
Tl 0.818 0.318 0.500
Tl 0.318 0.182 0.500
Ge 0.370 0.870 0.000
Ge 0.870 0.630 0.000
Ge 0.630 0.130 0.000
Ge 0.130 0.370 0.000
Se 0.000 0.000 0.000
Se 0.500 0.500 0.000


Below is an optimized crystal structure of Pr2NdGa, with properties calculated at the PBE level.

Computed properties:
Polymorph energy (0 for the lowest one)   0.104 eV per atom
VASP energy   -0.3300 Ry/atom
Energy relative to the elements   -152 meV per atom

a = 3.778 Å, b = 3.778 Å, c = 10.764 Å
α = 79.89°, β = 79.89°, γ = 60.00°
Positions (direct):
Pr 0.070 0.070 0.790
Pr 0.263 0.263 0.210
Nd 0.500 0.500 0.499
Ga 0.666 0.666 0.001


Below is an optimized crystal structure of PuMgSnH, with properties calculated at the PBE level.

Computed properties:
VASP energy   -0.4539 Ry/atom

a = 4.325 Å, b = 4.325 Å, c = 8.276 Å
α = 90.00°, β = 90.00°, γ = 90.00°
Each line ends with the local moment (μB).
Positions (direct):
Pu 0.000 0.500 0.881  5.20
Pu 0.500 0.000 0.119  5.20
Mg 0.000 0.000 0.500  -0.01
Mg 0.500 0.500 0.500  -0.01
Sn 0.500 0.000 0.734  -0.11
Sn 0.000 0.500 0.266  -0.11
H 0.500 0.500 0.000  -0.03
H 0.000 0.000 0.000  -0.03


Below is an optimized crystal structure of CaSmAg2, with properties calculated at the PBE level.

Computed properties:
VASP energy   -0.2505 Ry/atom
Energy relative to the elements   -303 meV per atom

a = 3.717 Å, b = 3.717 Å, c = 7.452 Å
α = 90.00°, β = 90.00°, γ = 90.00°
Positions (direct):
Ca 0.500 0.500 0.500
Ag 0.000 0.000 0.763
Ag 0.000 0.000 0.237
Sm 0.500 0.500 0.000


Question: What is the VASP energy in the second record?
Answer: -0.4002 Ry/atom


Question: Among the records above, which one has the highest VASP energy?
Answer: Tl2Ge2Se